# 1
Here is crystalline LaPm2Ni2Ge2 at its relaxed geometry from Alexandria. Energies are from GGA-PBE.

The space group is R-3m (No. 166, hexagonal axes) and the conventional cell measures 4.3053, 4.3053 and 29.8446 Å, with angles of 90.00, 90.00 and 120.00 degrees. The distinct sites, in fractional coordinates, are La at (0.0000, 0.0000, 0.0000), Pm at (0.0000, 0.0000, 0.1229), Ni at (0.0000, 0.0000, 0.4001) and Ge at (0.0000, 0.0000, 0.2631).

Its raw total energy is -5.649 eV/atom. The calculation puts the formation energy at -0.62 eV/atom.


# 2
Here is crystalline LiTb2PrIn4 at its relaxed geometry from Alexandria. Energies are from GGA-PBE.

The space group is R-3m (No. 166, hexagonal axes) and the conventional cell measures 5.2629, 5.2629 and 26.6006 Å, with angles of 90.00, 90.00 and 120.00 degrees. The distinct sites, in fractional coordinates, are Li at (0.0000, 0.0000, 0.0000), Tb at (0.0000, 0.0000, 0.2546), Pr at (0.0000, 0.0000, 0.5000), In at (0.0000, 0.0000, 0.1211) and In at (0.0000, 0.0000, 0.3725).

Its raw total energy is -3.782 eV/atom. The calculation puts the formation energy at -0.42 eV/atom.


# 3
Here is crystalline NaTlW2 at its relaxed geometry from Alexandria. Energies are from GGA-PBE.

The space group is I-42d (No. 122) and the conventional cell measures 8.273, 8.273 and 5.057 Å, with angles of 90.00, 90.00 and 90.00 degrees. The distinct sites, in fractional coordinates, are Na at (0.000, 0.000, 0.000), Tl at (0.000, 0.000, 0.500) and W at (0.208, 0.750, 0.625).

Its raw total energy is -5.659 eV/atom. The calculation puts the formation energy at 1.74 eV/atom.


# 4
Here is crystalline Zr4In2N at its relaxed geometry from Alexandria. Energies are from GGA-PBE.

The space group is I4/mmm (No. 139) and the conventional cell measures 4.403, 4.403 and 15.358 Å, with angles of 90.00, 90.00 and 90.00 degrees. The distinct sites, in fractional coordinates, are Zr at (0.000, 0.000, 0.154), Zr at (0.000, 0.500, 0.000), In at (0.000, 0.000, 0.353) and N at (0.000, 0.000, 0.000).

Its raw total energy is -7.460 eV/atom. For the formation energy without anion corrections, the calculation gives -604 meV/atom.


# 5
Here is crystalline Ce3Pt12Pb5 at its relaxed geometry from Alexandria. Energies are from GGA-PBE.

The space group is Ia-3d (No. 230) and the conventional cell measures 16.082, 16.082 and 16.082 Å, with angles of 90.00, 90.00 and 90.00 degrees. The distinct sites, in fractional coordinates, are Ce at (0.000, 0.250, 0.125), Pt at (0.002, 0.074, 0.653), Pb at (0.000, 0.000, 0.000) and Pb at (0.000, 0.250, 0.375).

Its raw total energy is -5.705 eV/atom. The calculation puts the formation energy at -0.26 eV/atom.


# 6
Here is crystalline Nb3TcIr4 at its relaxed geometry from Alexandria. Energies are from GGA-PBE.

The space group is Pmmm (No. 47) and the conventional cell measures 3.927, 3.960 and 8.088 Å, with angles of 90.00, 90.00 and 90.00 degrees. The distinct sites, in fractional coordinates, are Nb at (0.000, 0.000, 0.000), Nb at (0.000, 0.500, 0.266), Tc at (0.000, 0.000, 0.500), Ir at (0.500, 0.000, 0.255), Ir at (0.500, 0.500, 0.000) and Ir at (0.500, 0.500, 0.500).

Its raw total energy is -9.994 eV/atom. The calculation puts the formation energy at -0.49 eV/atom.


Number 1: D(E_F) 4.868 states/eV/f.u., total magnetization 0.0 μB/f.u.. Number 2: D(E_F) 4.225 states/eV/f.u., total magnetization 0.0 μB/f.u.. Number 3: D(E_F) 2.278 states/eV/f.u., total magnetization 0.0 μB/f.u.. Number 4: D(E_F) 5.723 states/eV/f.u., total magnetization 0.0 μB/f.u.. Number 5: D(E_F) 11.313 states/eV/f.u., total magnetization 0.4 μB/f.u.. Number 6: D(E_F) 6.150 states/eV/f.u., total magnetization 0.0 μB/f.u..